Here is a geometry-optimized AsW structure from Alexandria. Energies are from GGA-PBE.

Cell and atoms, written as POSCAR:
```
AsW
1.0
3.1330 0.0000 0.0000
0.0000 3.1330 0.0000
0.0000 0.0000 3.1330
As W
1 1
direct
0.0000 0.0000 0.0000
0.5000 0.5000 0.5000
```

Calculated formation energy in eV/atom: 0.2792
Raw total energy in eV per atom: -8.52

Here is a geometry-optimized As2W structure from Alexandria. Energies are from GGA-PBE.

Cell and atoms, written as POSCAR:
```
As2W
1.0
6.0011 0.0000 0.0000
0.0000 6.0011 0.0000
0.0000 0.0000 5.7052
As W
8 4
direct
0.1495 0.3505 0.0000
0.1495 0.6495 0.5000
0.3505 0.1495 0.5000
0.3505 0.8505 0.0000
0.6495 0.1495 0.0000
0.6495 0.8505 0.5000
0.8505 0.3505 0.5000
0.8505 0.6495 0.0000
0.0000 0.0000 0.2500
0.0000 0.0000 0.7500
0.5000 0.5000 0.2500
0.5000 0.5000 0.7500
```

Calculated formation energy in eV/atom: 0.1323
Raw total energy in eV per atom: -7.29

Here is a geometry-optimized As5W structure from Alexandria. Energies are from GGA-PBE.

Cell and atoms, written as POSCAR:
```
As5W
1.0
4.8501 0.0000 0.0000
0.0000 3.3182 0.0000
0.0000 0.0000 15.4005
As W
10 2
direct
0.0000 0.0000 0.0000
0.0000 0.0000 0.2673
0.0000 0.5000 0.5000
0.0000 0.5000 0.7673
0.5000 0.0000 0.0651
0.5000 0.0000 0.3367
0.5000 0.0000 0.7022
0.5000 0.5000 0.2022
0.5000 0.5000 0.5651
0.5000 0.5000 0.8367
0.0000 0.0000 0.6361
0.0000 0.5000 0.1361
```

Energy above the lowest structure with this stoichiometry in meV per atom: 113
Calculated formation energy in eV/atom: 0.2626
Raw total energy in eV per atom: -5.77

Here is a geometry-optimized As3W structure from Alexandria. Energies are from GGA-PBE.

Cell and atoms, written as POSCAR:
```
As3W
1.0
7.7653 0.0000 0.0000
0.0000 12.8826 0.0000
0.0000 0.0000 4.0041
As W
12 4
direct
0.0000 0.2294 0.2500
0.0000 0.7706 0.7500
0.2273 0.0961 0.2500
0.2273 0.9039 0.7500
0.2727 0.4039 0.7500
0.2727 0.5961 0.2500
0.5000 0.2706 0.7500
0.5000 0.7294 0.2500
0.7273 0.4039 0.7500
0.7273 0.5961 0.2500
0.7727 0.0961 0.2500
0.7727 0.9039 0.7500
0.0000 0.0655 0.7500
0.0000 0.9345 0.2500
0.5000 0.4345 0.2500
0.5000 0.5655 0.7500
```

Energy above the lowest structure with this stoichiometry in meV per atom: 92
Calculated formation energy in eV/atom: 0.1857
Raw total energy in eV per atom: -6.54

Here is a geometry-optimized As3W2 structure from Alexandria. Energies are from GGA-PBE.

Cell and atoms, written as POSCAR:
```
As3W2
1.0
3.1709 0.0000 0.0000
-1.5854 2.7461 0.0000
0.0000 0.0000 29.7495
As W
9 6
direct
0.0000 0.0000 0.0000
0.0000 0.0000 0.2073
0.0000 0.0000 0.7927
0.3333 0.6667 0.4594
0.3333 0.6667 0.6667
0.3333 0.6667 0.8740
0.6667 0.3333 0.1260
0.6667 0.3333 0.3333
0.6667 0.3333 0.5406
0.0000 0.0000 0.3992
0.0000 0.0000 0.6008
0.3333 0.6667 0.0659
0.3333 0.6667 0.2675
0.6667 0.3333 0.7325
0.6667 0.3333 0.9341
```

Energy above the lowest structure with this stoichiometry in meV per atom: 350
Calculated formation energy in eV/atom: 0.2609
Raw total energy in eV per atom: -7.71

Here is a geometry-optimized AsW5 structure from Alexandria. Energies are from GGA-PBE.

Cell and atoms, written as POSCAR:
```
AsW5
1.0
5.1854 0.0000 0.0000
-2.5927 4.4907 0.0000
0.0000 0.0000 4.7205
As W
1 5
direct
0.0000 0.0000 0.0000
0.0000 0.5000 0.5000
0.3333 0.6667 0.0000
0.5000 0.0000 0.5000
0.5000 0.5000 0.5000
0.6667 0.3333 0.0000
```

Energy above the lowest structure with this stoichiometry in meV per atom: 624
Calculated formation energy in eV/atom: 0.8283
Raw total energy in eV per atom: -10.74

> Which of these has the lowest calculated formation energy?

As2W

> raw total energy of number 2 (As2W)?

-7.29 eV per atom

Copy entry 1 word for word.
Here is a geometry-optimized AsW structure from Alexandria. Energies are from GGA-PBE.

Cell and atoms, written as POSCAR:
```
AsW
1.0
3.1330 0.0000 0.0000
0.0000 3.1330 0.0000
0.0000 0.0000 3.1330
As W
1 1
direct
0.0000 0.0000 0.0000
0.5000 0.5000 0.5000
```

Calculated formation energy in eV/atom: 0.2792
Raw total energy in eV per atom: -8.52